Run a
Material: Li4ZrF8
Method: DFT, PBE-GGA
State: relaxed

a = 6.0152 Å, b = 6.0152 Å, c = 6.0152 Å
α = 60.00°, β = 60.00°, γ = 60.00°
Element x y z (fractional)
Li (0.9305, 0.3565, 0.3565)
Li (0.3565, 0.9305, 0.3565)
Li (0.3565, 0.3565, 0.9305)
Li (0.3565, 0.3565, 0.3565)
Zr (0.7500, 0.7500, 0.7500)
F (0.5951, 0.1350, 0.1350)
F (0.1350, 0.5951, 0.1350)
F (0.1350, 0.1350, 0.5951)
F (0.1350, 0.1350, 0.1350)
F (0.1473, 0.6176, 0.6176)
F (0.6176, 0.1473, 0.6176)
F (0.6176, 0.6176, 0.1473)
F (0.6176, 0.6176, 0.6176)

Results
- total magnetic moment (μB/atom) = 0.006
- calculated density (g/cm3) = 2.924

=====

Run b
Material: Li4ZrF8
Method: DFT, PBE-GGA
State: relaxed

a = 5.7586 Å, b = 9.7447 Å, c = 9.7047 Å
α = 90.00°, β = 90.00°, γ = 90.00°
Element x y z (fractional)
Li (0.1190, 0.3689, 0.0592)
Li (0.6190, 0.1311, 0.9408)
Li (0.3810, 0.8689, 0.4408)
Li (0.8810, 0.6311, 0.5592)
Li (0.8810, 0.6311, 0.9408)
Li (0.3810, 0.8689, 0.0592)
Li (0.6190, 0.1311, 0.5592)
Li (0.1190, 0.3689, 0.4408)
Li (0.6292, 0.3961, 0.0801)
Li (0.1292, 0.1039, 0.9199)
Li (0.8708, 0.8961, 0.4199)
Li (0.3708, 0.6039, 0.5801)
Li (0.3708, 0.6039, 0.9199)
Li (0.8708, 0.8961, 0.0801)
Li (0.1292, 0.1039, 0.5801)
Li (0.6292, 0.3961, 0.4199)
Zr (0.3677, 0.1353, 0.2500)
Zr (0.6323, 0.8647, 0.7500)
Zr (0.1323, 0.6353, 0.2500)
Zr (0.8677, 0.3647, 0.7500)
F (0.8532, 0.9807, 0.6159)
F (0.3819, 0.7125, 0.7500)
F (0.8819, 0.7875, 0.2500)
F (0.1181, 0.2125, 0.7500)
F (0.1468, 0.0193, 0.1159)
F (0.6468, 0.4807, 0.8841)
F (0.3532, 0.5193, 0.3841)
F (0.6468, 0.4807, 0.6159)
F (0.8532, 0.9807, 0.8841)
F (0.3532, 0.5193, 0.1159)
F (0.1014, 0.4782, 0.6215)
F (0.1468, 0.0193, 0.3841)
F (0.6014, 0.0218, 0.1215)
F (0.1014, 0.4782, 0.8785)
F (0.8986, 0.5218, 0.3785)
F (0.3986, 0.9782, 0.6215)
F (0.3986, 0.9782, 0.8785)
F (0.8986, 0.5218, 0.1215)
F (0.8819, 0.7143, 0.7500)
F (0.6014, 0.0218, 0.3785)
F (0.3715, 0.2339, 0.4635)
F (0.8715, 0.2661, 0.5365)
F (0.1285, 0.7339, 0.0365)
F (0.6285, 0.7661, 0.9635)
F (0.6285, 0.7661, 0.5365)
F (0.1285, 0.7339, 0.4635)
F (0.8715, 0.2661, 0.9635)
F (0.3715, 0.2339, 0.0365)
F (0.1181, 0.2857, 0.2500)
F (0.6181, 0.2143, 0.7500)
F (0.3819, 0.7857, 0.2500)
F (0.6181, 0.2875, 0.2500)

Results
- total magnetic moment (μB/atom) = 0.000
- calculated density (g/cm3) = 3.305

=====

Which of them is most stable, and which least? Most stable: run b; least stable: run a.

=====

Run a
Material: LuSeO3F
Method: DFT, PBE-GGA
State: relaxed

a = 6.9224 Å, b = 6.5429 Å, c = 7.1053 Å
α = 82.11°, β = 90.00°, γ = 90.00°
Element x y z (fractional)
Lu (0.6417, 0.8634, 0.3267)
Lu (0.8583, 0.8634, 0.8267)
Lu (0.1417, 0.1366, 0.1733)
Lu (0.3583, 0.1366, 0.6733)
Se (0.6229, 0.3517, 0.2105)
Se (0.3771, 0.6483, 0.7895)
Se (0.1229, 0.6483, 0.2895)
Se (0.8771, 0.3517, 0.7105)
O (0.1879, 0.4780, 0.1380)
O (0.0263, 0.1715, 0.8539)
O (0.5263, 0.8285, 0.6461)
O (0.3121, 0.4780, 0.6380)
O (0.1882, 0.8260, 0.7766)
O (0.9737, 0.8285, 0.1461)
O (0.3118, 0.8260, 0.2766)
O (0.8118, 0.1740, 0.2234)
O (0.8121, 0.5220, 0.8620)
O (0.6882, 0.1740, 0.7234)
O (0.4737, 0.1715, 0.3539)
O (0.6879, 0.5220, 0.3620)
F (0.6240, 0.8381, 0.0286)
F (0.1240, 0.1619, 0.4714)
F (0.8760, 0.8381, 0.5286)
F (0.3760, 0.1619, 0.9714)

Results
- total magnetic moment (μB/atom) = 0.000
- calculated density (g/cm3) = 6.687

=====

Run b
Material: LuSeO3F
Method: DFT, PBE-GGA
State: relaxed

a = 6.9316 Å, b = 4.2979 Å, c = 6.5386 Å
α = 84.45°, β = 90.00°, γ = 90.00°
Element x y z (fractional)
Lu (0.2500, 0.5363, 0.3716)
Lu (0.7500, 0.4637, 0.6284)
Se (0.7500, 0.6787, 0.1456)
Se (0.2500, 0.3213, 0.8544)
O (0.2500, 0.5890, 0.0284)
O (0.7500, 0.4110, 0.9716)
O (0.5715, 0.5467, 0.3225)
O (0.0715, 0.4533, 0.6775)
O (0.4285, 0.4533, 0.6775)
O (0.9285, 0.5467, 0.3225)
F (0.2500, 0.0358, 0.3633)
F (0.7500, 0.9642, 0.6367)

Results
- total magnetic moment (μB/atom) = 0.000
- calculated density (g/cm3) = 5.497

=====

Which of them is most stable, and which least? Most stable: run b; least stable: run a.

=====

Run a
Material: MgF4
Method: DFT, PBE-GGA
State: relaxed

a = 3.1553 Å, b = 3.1553 Å, c = 7.8459 Å
α = 107.35°, β = 107.35°, γ = 60.99°
Last column: magnetic moment on the atom in μB.
Element x y z (fractional)
Mg (0.0000, 0.0000, 0.0000)  0.00
F (0.2343, 0.2343, 0.4655)  0.12
F (0.7657, 0.7657, 0.5345)  0.12
F (0.7288, 0.7288, 0.1245)  0.01
F (0.2712, 0.2712, 0.8755)  0.01

Results
- total magnetic moment (μB/atom) = 0.055
- calculated density (g/cm3) = 2.599

=====

Run b
Material: MgF4
Method: DFT, PBE-GGA
State: relaxed

a = 3.9621 Å, b = 3.9621 Å, c = 3.9621 Å
α = 90.00°, β = 90.00°, γ = 90.00°
Last column: magnetic moment on the atom in μB.
Element x y z (fractional)
Mg (0.5000, 0.5000, 0.5000)  -0.01
F (0.0000, 0.0000, 0.0000)  0.83
F (0.5000, 0.0000, 0.5000)  0.33
F (0.0000, 0.5000, 0.5000)  0.33
F (0.5000, 0.5000, 0.0000)  0.33

Results
- total magnetic moment (μB/atom) = 0.400
- calculated density (g/cm3) = 2.678

=====

Which of them is most stable, and which least? Most stable: run a; least stable: run b.